Entry 1:
VASP calculation (GGA-PBE) on a relaxed structure of NaTlHgPd2. Values from VASP.

Quantum ESPRESSO input file:
```
&SYSTEM
  ibrav = 0, nat = 10, ntyp = 4
/
ATOMIC_SPECIES
Pd 106.42 Pd.upf
Tl 204.38 Tl.upf
Na 22.99 Na.upf
Hg 200.59 Hg.upf
ATOMIC_POSITIONS angstrom
Pd 3.361 4.994 2.143
Pd 1.120 2.065 5.276
Pd 3.361 2.251 1.389
Pd 1.120 -0.678 4.522
Tl 3.361 0.952 3.915
Tl 1.120 3.364 2.750
Na 3.361 4.554 5.156
Na 1.120 -0.238 1.508
Hg 1.120 -0.145 7.249
Hg 3.361 4.462 -0.585
CELL_PARAMETERS angstrom
4.481 0.000 0.000
0.000 6.702 -0.959
0.000 -2.385 7.624
```

Output
- Crystal system: monoclinic
- V: 21.87 A^3/atom
- Total energy: -30.59 eV per cell

Entry 2:
VASP calculation (GGA-PBE) on a relaxed structure of Na2TlHgPd. Values from VASP.

Quantum ESPRESSO input file:
```
&SYSTEM
  ibrav = 0, nat = 5, ntyp = 4
/
ATOMIC_SPECIES
Hg 200.59 Hg.upf
Na 22.99 Na.upf
Tl 204.38 Tl.upf
Pd 106.42 Pd.upf
ATOMIC_POSITIONS angstrom
Hg -4.089 1.096 -0.257
Na -6.301 2.104 1.803
Na -2.758 1.257 2.568
Tl -2.008 0.147 -2.195
Pd -1.189 1.765 0.009
CELL_PARAMETERS angstrom
-0.448 2.650 -1.779
-3.537 -2.369 -2.639
-3.166 2.211 7.012
```

Output
- Crystal system: orthorhombic
- V: 23.99 A^3/atom
- ΔE to the lowest computed polymorph: 0 meV per atom

Entry 3:
VASP calculation (GGA-PBE) on a relaxed structure of NaTlHgPd. Values from VASP.

Quantum ESPRESSO input file:
```
&SYSTEM
  ibrav = 0, nat = 4, ntyp = 4
/
ATOMIC_SPECIES
Tl 204.38 Tl.upf
Na 22.99 Na.upf
Hg 200.59 Hg.upf
Pd 106.42 Pd.upf
ATOMIC_POSITIONS angstrom
Tl -2.578 5.251 2.198
Na -3.737 8.030 3.574
Hg -1.401 2.493 0.862
Pd -4.887 6.669 1.130
CELL_PARAMETERS angstrom
-1.425 4.137 -1.632
-4.243 1.609 1.102
0.132 4.306 4.119
```

Output
- Crystal system: trigonal
- V: 25.10 A^3/atom
- ΔE to the lowest computed polymorph: 15 meV per atom

Entry 4:
VASP calculation (GGA-PBE) on a relaxed structure of NaTmHgPd. Values from VASP.

Quantum ESPRESSO input file:
```
&SYSTEM
  ibrav = 0, nat = 4, ntyp = 4
/
ATOMIC_SPECIES
Hg 200.59 Hg.upf
Tm 168.93 Tm.upf
Pd 106.42 Pd.upf
Na 22.99 Na.upf
ATOMIC_POSITIONS angstrom
Hg -1.781 1.874 -1.603
Tm -3.562 3.748 -3.207
Pd -5.342 5.622 -4.810
Na 0.000 0.000 0.000
CELL_PARAMETERS angstrom
-0.679 2.153 -4.425
-4.600 0.738 -1.724
-1.844 4.605 -0.265
```

Output
- Crystal system: cubic
- V: 21.67 A^3/atom
- Total energy: -12.80 eV per cell

Entry 5:
VASP calculation (GGA-PBE) on a relaxed structure of Na2HgPdW. Values from VASP.

Quantum ESPRESSO input file:
```
&SYSTEM
  ibrav = 0, nat = 5, ntyp = 4
/
ATOMIC_SPECIES
Na 22.99 Na.upf
W 183.84 W.upf
Pd 106.42 Pd.upf
Hg 200.59 Hg.upf
ATOMIC_POSITIONS angstrom
Na 0.000 0.000 2.482
Na 2.482 0.000 0.000
W 2.482 2.625 2.482
Pd 0.000 0.000 0.000
Hg 0.000 2.625 0.000
CELL_PARAMETERS angstrom
4.964 0.000 0.000
0.000 5.250 0.000
0.000 0.000 4.964
```

Output
- Crystal system: tetragonal
- V: 25.87 A^3/atom
- Total energy: -13.42 eV per cell

Entry 6:
VASP calculation (GGA-PBE) on a relaxed structure of Na2ZnHgPd. Values from VASP.

Quantum ESPRESSO input file:
```
&SYSTEM
  ibrav = 0, nat = 5, ntyp = 4
/
ATOMIC_SPECIES
Na 22.99 Na.upf
Zn 65.41 Zn.upf
Pd 106.42 Pd.upf
Hg 200.59 Hg.upf
ATOMIC_POSITIONS angstrom
Na 0.000 0.000 2.711
Na 2.711 0.000 0.000
Zn 2.711 2.630 2.711
Pd 0.000 0.000 0.000
Hg 0.000 2.630 0.000
CELL_PARAMETERS angstrom
5.422 0.000 0.000
0.000 5.260 0.000
0.000 0.000 5.422
```

Output
- Crystal system: tetragonal
- V: 30.93 A^3/atom
- Total energy: -8.79 eV per cell

Entry 7:
VASP calculation (GGA-PBE) on a relaxed structure of NaZnHg2Pd. Values from VASP.

Quantum ESPRESSO input file:
```
&SYSTEM
  ibrav = 0, nat = 5, ntyp = 4
/
ATOMIC_SPECIES
Zn 65.41 Zn.upf
Hg 200.59 Hg.upf
Na 22.99 Na.upf
Pd 106.42 Pd.upf
ATOMIC_POSITIONS angstrom
Zn -1.663 0.080 1.773
Hg -1.712 1.169 -1.659
Hg -0.907 -2.382 -0.743
Na -4.282 -1.133 -0.628
Pd 0.000 0.000 0.000
CELL_PARAMETERS angstrom
-3.424 2.338 -3.317
-1.814 -4.764 -1.485
-3.326 0.160 3.547
```

Output
- Crystal system: tetragonal
- V: 27.44 A^3/atom
- ΔE to the lowest computed polymorph: 0 meV per atom

Entry 8:
VASP calculation (GGA-PBE) on a relaxed structure of NaZnHg2Pd. Values from VASP.

Quantum ESPRESSO input file:
```
&SYSTEM
  ibrav = 0, nat = 5, ntyp = 4
/
ATOMIC_SPECIES
Zn 65.41 Zn.upf
Hg 200.59 Hg.upf
Pd 106.42 Pd.upf
Na 22.99 Na.upf
ATOMIC_POSITIONS angstrom
Zn 2.643 2.706 2.643
Hg 2.643 0.000 0.000
Hg 0.000 0.000 2.643
Pd 0.000 0.000 0.000
Na 0.000 2.706 0.000
CELL_PARAMETERS angstrom
5.286 0.000 0.000
0.000 5.412 0.000
0.000 0.000 5.286
```

Output
- Crystal system: tetragonal
- V: 30.25 A^3/atom
- ΔE to the lowest computed polymorph: 203 meV per atom

Entry 9:
VASP calculation (GGA-PBE) on a relaxed structure of NaPm3Hg4. Values from VASP.

Quantum ESPRESSO input file:
```
&SYSTEM
  ibrav = 0, nat = 8, ntyp = 3
/
ATOMIC_SPECIES
Pm 145.00 Pm.upf
Hg 200.59 Hg.upf
Na 22.99 Na.upf
ATOMIC_POSITIONS angstrom
Pm 5.552 3.392 9.355
Pm 1.892 1.156 2.976
Pm 3.722 2.274 6.165
Hg 2.803 1.712 9.280
Hg 0.941 0.575 6.200
Hg 6.503 3.973 6.130
Hg 4.641 2.835 3.051
Na 0.000 0.000 0.000
CELL_PARAMETERS angstrom
5.098 0.000 1.505
2.327 4.536 1.505
0.019 0.012 9.321
```

Output
- Crystal system: trigonal
- V: 26.92 A^3/atom
- Total energy: -20.15 eV per cell

Entry 10:
VASP calculation (GGA-PBE) on a relaxed structure of Na3PmHg12. Values from VASP.

Quantum ESPRESSO input file:
```
&SYSTEM
  ibrav = 0, nat = 16, ntyp = 3
/
ATOMIC_SPECIES
Pm 145.00 Pm.upf
Hg 200.59 Hg.upf
Na 22.99 Na.upf
ATOMIC_POSITIONS angstrom
Pm 0.000 0.000 0.000
Hg 2.991 -6.473 1.860
Hg 7.575 -14.573 -1.547
Hg 4.942 -10.740 -1.448
Hg 0.358 -2.640 1.959
Hg 8.281 -14.172 1.661
Hg 5.316 -13.404 0.510
Hg 2.649 -9.522 0.610
Hg -2.635 -1.831 0.809
Hg 5.647 -10.339 1.760
Hg -0.348 -3.042 -1.249
Hg 2.286 -6.875 -1.348
Hg -0.018 -5.640 0.710
Na 7.917 -11.523 -0.297
Na 2.651 -3.859 -0.100
Na 5.284 -7.691 -0.199
CELL_PARAMETERS angstrom
-1.930 -1.430 4.017
-3.341 -2.233 -2.399
10.568 -15.382 -0.397
```

Output
- Crystal system: tetragonal
- V: 25.55 A^3/atom
- Total energy: -15.98 eV per cell

Entry 11:
VASP calculation (GGA-PBE) on a relaxed structure of NaPm2Hg3. Values from VASP.

Quantum ESPRESSO input file:
```
&SYSTEM
  ibrav = 0, nat = 6, ntyp = 3
/
ATOMIC_SPECIES
Hg 200.59 Hg.upf
Pm 145.00 Pm.upf
Na 22.99 Na.upf
ATOMIC_POSITIONS angstrom
Hg -3.628 -0.658 0.803
Hg -7.456 -1.352 1.650
Hg 0.000 0.000 0.000
Pm -2.122 -1.682 -1.877
Pm -9.488 -3.018 -0.247
Na -5.805 -2.350 -1.062
CELL_PARAMETERS angstrom
-0.948 0.911 -3.536
0.423 -3.602 -1.042
-11.084 -2.010 2.453
```

Output
- Crystal system: tetragonal
- V: 27.35 A^3/atom
- ΔE to the lowest computed polymorph: 18 meV per atom

Entry 12:
VASP calculation (GGA-PBE) on a relaxed structure of NaPmHg. Values from VASP.

Quantum ESPRESSO input file:
```
&SYSTEM
  ibrav = 0, nat = 3, ntyp = 3
/
ATOMIC_SPECIES
Na 22.99 Na.upf
Hg 200.59 Hg.upf
Pm 145.00 Pm.upf
ATOMIC_POSITIONS angstrom
Na 1.854 1.854 1.261
Hg 1.854 1.854 5.975
Pm 0.000 0.000 4.209
CELL_PARAMETERS angstrom
3.707 0.000 0.000
0.000 3.707 0.000
-1.854 -1.854 6.732
```

Output
- Crystal system: tetragonal
- V: 30.84 A^3/atom
- ΔE to the lowest computed polymorph: 0 meV per atom